Material: In12Bi5Pd3
Method: DFT, PBE
State: optimized geometry

a b c (Å): 14.7680 14.7680 14.7680
angles (deg): 109.47 109.47 109.47
Last column: nearest neighbours and their distance in Å.
Positions (direct):
In 0.0561 0.6323 0.3867  1 Pd 2.70, 1 Bi 2.96, 1 In 3.02
In 0.0561 0.9238 0.6695  1 Pd 2.70, 1 Bi 2.96, 1 In 3.02
In 0.0762 0.2456 0.1323  1 Pd 2.70, 1 Bi 2.96, 1 In 3.02
In 0.0762 0.3305 0.9439  1 Pd 2.70, 1 Bi 2.96, 1 In 3.02
In 0.1133 0.7456 0.6695  1 Pd 2.70, 1 Bi 2.96, 1 In 3.02
In 0.1133 0.8677 0.4439  1 Pd 2.70, 1 Bi 2.96, 1 In 3.02
In 0.1323 0.0762 0.2456  1 Pd 2.70, 1 Bi 2.96, 1 In 3.02
In 0.1323 0.5561 0.8867  1 Pd 2.70, 1 Bi 2.96, 1 In 3.02
In 0.1695 0.2456 0.6133  1 Pd 2.70, 1 Bi 2.96, 1 In 3.02
In 0.1695 0.4238 0.5561  1 Pd 2.70, 1 Bi 2.96, 1 In 3.02
In 0.2456 0.1323 0.0762  1 Pd 2.70, 1 Bi 2.96, 1 In 3.02
In 0.2456 0.6133 0.1695  1 Pd 2.70, 1 Bi 2.96, 1 In 3.02
In 0.2544 0.3305 0.8867  1 Pd 2.70, 1 Bi 2.96, 1 In 3.02
In 0.2544 0.4238 0.3677  1 Pd 2.70, 1 Bi 2.96, 1 In 3.02
In 0.3305 0.8867 0.2544  1 Pd 2.70, 1 Bi 2.96, 1 In 3.02
In 0.3305 0.9439 0.0762  1 Pd 2.70, 1 Bi 2.96, 1 In 3.02
In 0.3677 0.2544 0.4238  1 Pd 2.70, 1 Bi 2.96, 1 In 3.02
In 0.3677 0.6133 0.9439  1 Pd 2.70, 1 Bi 2.96, 1 In 3.02
In 0.3867 0.0561 0.6323  1 Pd 2.70, 1 Bi 2.96, 1 In 3.02
In 0.3867 0.8305 0.7544  1 Pd 2.70, 1 Bi 2.96, 1 In 3.02
In 0.4238 0.3677 0.2544  1 Pd 2.70, 1 Bi 2.96, 1 In 3.02
In 0.4238 0.5561 0.1695  1 Pd 2.70, 1 Bi 2.96, 1 In 3.02
In 0.4439 0.1133 0.8677  1 Pd 2.70, 1 Bi 2.96, 1 In 3.02
In 0.4439 0.8305 0.5762  1 Pd 2.70, 1 Bi 2.96, 1 In 3.02
In 0.5561 0.1695 0.4238  1 Pd 2.70, 1 Bi 2.96, 1 In 3.02
In 0.5561 0.8867 0.1323  1 Pd 2.70, 1 Bi 2.96, 1 In 3.02
In 0.5762 0.4439 0.8305  1 Pd 2.70, 1 Bi 2.96, 1 In 3.02
In 0.5762 0.6323 0.7456  1 Pd 2.70, 1 Bi 2.96, 1 In 3.02
In 0.6133 0.1695 0.2456  1 Pd 2.70, 1 Bi 2.96, 1 In 3.02
In 0.6133 0.9439 0.3677  1 Pd 2.70, 1 Bi 2.96, 1 In 3.02
In 0.6323 0.3867 0.0561  1 Pd 2.70, 1 Bi 2.96, 1 In 3.02
In 0.6323 0.7456 0.5762  1 Pd 2.70, 1 Bi 2.96, 1 In 3.02
In 0.6695 0.0561 0.9238  1 Pd 2.70, 1 Bi 2.96, 1 In 3.02
In 0.6695 0.1133 0.7456  1 Pd 2.70, 1 Bi 2.96, 1 In 3.02
In 0.7456 0.5762 0.6323  1 Pd 2.70, 1 Bi 2.96, 1 In 3.02
In 0.7456 0.6695 0.1133  1 Pd 2.70, 1 Bi 2.96, 1 In 3.02
In 0.7544 0.3867 0.8305  1 Pd 2.70, 1 Bi 2.96, 1 In 3.02
In 0.7544 0.8677 0.9238  1 Pd 2.70, 1 Bi 2.96, 1 In 3.02
In 0.8305 0.5762 0.4439  1 Pd 2.70, 1 Bi 2.96, 1 In 3.02
In 0.8305 0.7544 0.3867  1 Pd 2.70, 1 Bi 2.96, 1 In 3.02
In 0.8677 0.4439 0.1133  1 Pd 2.70, 1 Bi 2.96, 1 In 3.02
In 0.8677 0.9238 0.7544  1 Pd 2.70, 1 Bi 2.96, 1 In 3.02
In 0.8867 0.1323 0.5561  1 Pd 2.70, 1 Bi 2.96, 1 In 3.02
In 0.8867 0.2544 0.3305  1 Pd 2.70, 1 Bi 2.96, 1 In 3.02
In 0.9238 0.6695 0.0561  1 Pd 2.70, 1 Bi 2.96, 1 In 3.02
In 0.9238 0.7544 0.8677  1 Pd 2.70, 1 Bi 2.96, 1 In 3.02
In 0.9439 0.0762 0.3305  1 Pd 2.70, 1 Bi 2.96, 1 In 3.02
In 0.9439 0.3677 0.6133  1 Pd 2.70, 1 Bi 2.96, 1 In 3.02
Bi 0.0000 0.0000 0.0000  6 In 3.05
Bi 0.0000 0.0000 0.5000  6 In 3.05
Bi 0.0000 0.5000 0.0000  6 In 3.05
Bi 0.0000 0.5000 0.5000  6 In 3.05
Bi 0.1250 0.7500 0.8750  4 In 2.96
Bi 0.1250 0.8750 0.2500  4 In 2.96
Bi 0.2500 0.1250 0.8750  4 In 2.96
Bi 0.2500 0.6250 0.3750  4 In 2.96
Bi 0.3750 0.2500 0.6250  4 In 2.96
Bi 0.3750 0.6250 0.7500  4 In 2.96
Bi 0.5000 0.0000 0.0000  6 In 3.05
Bi 0.5000 0.0000 0.5000  6 In 3.05
Bi 0.5000 0.5000 0.0000  6 In 3.05
Bi 0.5000 0.5000 0.5000  6 In 3.05
Bi 0.6250 0.3750 0.2500  4 In 2.96
Bi 0.6250 0.7500 0.3750  4 In 2.96
Bi 0.7500 0.3750 0.6250  4 In 2.96
Bi 0.7500 0.8750 0.1250  4 In 2.96
Bi 0.8750 0.1250 0.7500  4 In 2.96
Bi 0.8750 0.2500 0.1250  4 In 2.96
Pd 0.1250 0.2500 0.3750  4 In 2.70
Pd 0.1250 0.3750 0.7500  4 In 2.70
Pd 0.2500 0.3750 0.1250  4 In 2.70
Pd 0.2500 0.8750 0.6250  4 In 2.70
Pd 0.3750 0.1250 0.2500  4 In 2.70
Pd 0.3750 0.7500 0.1250  4 In 2.70
Pd 0.6250 0.2500 0.8750  4 In 2.70
Pd 0.6250 0.8750 0.7500  4 In 2.70
Pd 0.7500 0.1250 0.3750  4 In 2.70
Pd 0.7500 0.6250 0.8750  4 In 2.70
Pd 0.8750 0.6250 0.2500  4 In 2.70
Pd 0.8750 0.7500 0.6250  4 In 2.70

Calculated values
**Symmetry**: Ia-3d (230)
**Energy relative to the elements**: -0.0096 eV/atom
**Electronic total energy**: -3.402 eV/atom
**Crystal system**: cubic